Compound: CoCu2IrO
Source: the Alexandria database
Functional: PBE+U
Structure: optimized geometry

spin magnetization = 3.8 μB/cell
final energy = -3.782 eV/atom

abc: 4.325 4.325 4.471
angles: 90.00 90.00 90.00
Space group P4/mmm (No. 123)
One atom of each set of equivalent atoms:
Co (0.000, 0.000, 0.000) x1
Cu (0.000, 0.500, 0.000) x2
Ir (0.000, 0.000, 0.500) x1
O (0.500, 0.500, 0.500) x1